# GGA+U MnP2ClO, relaxed
# total magnetization: 0.121 μB/atom
# D(E_F): 4.19 states/eV per cell
# SG: No. 123
# volume: 84 Å³ per cell
# mass density: 3.3 g/cm³
# excess energy over the best structure of this formula in the dataset: 1088 meV per atom
data_MnP2ClO
_chemical_formula_sum 'Mn1 P2 Cl1 O1'
_symmetry_space_group_name_H-M 'P 1'
_symmetry_Int_Tables_number 1
_cell_length_a 4.3119
_cell_length_b 4.3119
_cell_length_c 4.5345
_cell_angle_alpha 90.00
_cell_angle_beta 90.00
_cell_angle_gamma 90.00
loop_
_symmetry_equiv_pos_as_xyz
'x,y,z'
loop_
_atom_site_label
_atom_site_type_symbol
_atom_site_fract_x
_atom_site_fract_y
_atom_site_fract_z
P1 P 0.0000 0.5000 0.0000
P2 P 0.5000 0.0000 0.0000
Mn1 Mn 0.0000 0.0000 0.0000
O1 O 0.5000 0.5000 0.5000
Cl1 Cl 0.0000 0.0000 0.5000